# 1
A geometry-optimized SrInGa2Ag4 structure, computed with PBE.

a b c (Å): 10.0865 10.0865 10.0865
angles (deg): 26.30 26.30 26.30
With the nearest neighbours (Å) after each atom.
Positions (direct):
Sr  0.0000  0.0000  0.0000  8 Ag 3.36-3.60, 6 Ga 3.51
In  0.5000  0.5000  0.5000  8 Ag 2.80-2.94
Ga  0.2543  0.2543  0.2543  6 Ag 2.66-2.95
Ga  0.7457  0.7457  0.7457  6 Ag 2.66-2.95
Ag  0.1234  0.1234  0.1234  3 In 2.94, 3 Ga 2.95, 3 Ag 3.06
Ag  0.4041  0.4041  0.4041  3 Ga 2.66, 1 In 2.80
Ag  0.5959  0.5959  0.5959  3 Ga 2.66, 1 In 2.80
Ag  0.8766  0.8766  0.8766  3 In 2.94, 3 Ga 2.95, 3 Ag 3.06

Its crystal system is trigonal. The raw total energy comes out at -22.8 eV per cell.

# 2
A geometry-optimized Sr2InGa3Ag4 structure, computed with PBE.

a b c (Å): 4.5491 4.5491 11.2939
angles (deg): 90.00 90.00 90.00
With the nearest neighbours (Å) after each atom.
Positions (direct):
Sr  0.0000  0.5000  0.2426  8 Ag 3.45-3.56, 6 Ga 3.49-3.69, 2 In 3.69
Sr  0.5000  0.0000  0.7574  8 Ag 3.45-3.56, 6 Ga 3.49-3.69, 2 In 3.69
In  0.0000  0.0000  0.5000  4 Ag 2.81
Ga  0.0000  0.5000  0.8769  5 Ag 2.61-2.67
Ga  0.5000  0.0000  0.1231  5 Ag 2.61-2.67
Ga  0.5000  0.5000  0.5000  4 Ag 2.81
Ag  0.0000  0.0000  0.0000  4 Ga 2.67
Ag  0.0000  0.5000  0.6459  3 Ga 2.61-2.81, 2 In 2.81
Ag  0.5000  0.0000  0.3541  3 Ga 2.61-2.81, 2 In 2.81
Ag  0.5000  0.5000  0.0000  4 Ga 2.67

Its crystal system is tetragonal. The raw total energy comes out at -29.6 eV per cell.

# 3
A geometry-optimized Sr3In2GaAg6 structure, computed with PBE.

a b c (Å): 6.0986 6.0986 9.5028
angles (deg): 90.00 90.00 120.00
With the nearest neighbours (Å) after each atom.
Positions (direct):
Sr  0.0000  0.0000  0.0000  6 Ag 3.25, 6 In 3.52
Sr  0.3333  0.6667  0.6046  9 Ag 3.23-3.50
Sr  0.6667  0.3333  0.3954  9 Ag 3.23-3.50
In  0.3333  0.6667  0.0148  3 Ag 3.06
In  0.6667  0.3333  0.9852  3 Ag 3.06
Ga  0.0000  0.0000  0.5000  6 Ag 2.76
Ag  0.1731  0.3462  0.2825  1 Ga 2.76, 2 Ag 2.93, 1 In 3.06
Ag  0.1731  0.8269  0.2825  1 Ga 2.76, 2 Ag 2.93, 1 In 3.06
Ag  0.3462  0.1731  0.7175  1 Ga 2.76, 2 Ag 2.93, 1 In 3.06
Ag  0.6538  0.8269  0.2825  1 Ga 2.76, 2 Ag 2.93, 1 In 3.06
Ag  0.8269  0.1731  0.7175  1 Ga 2.76, 2 Ag 2.93, 1 In 3.06
Ag  0.8269  0.6538  0.7175  1 Ga 2.76, 2 Ag 2.93, 1 In 3.06

Its crystal system is trigonal. The raw total energy comes out at -33.0 eV per cell.

# 4
A geometry-optimized SrIn2GaAg4 structure, computed with PBE.

a b c (Å): 9.7654 9.7654 9.7654
angles (deg): 28.16 28.16 28.16
With the nearest neighbours (Å) after each atom.
Positions (direct):
Sr  0.0000  0.0000  0.0000  6 Ag 3.39, 6 In 3.62
In  0.2496  0.2496  0.2496  3 Ag 2.77
In  0.7504  0.7504  0.7504  3 Ag 2.77
Ga  0.5000  0.5000  0.5000  8 Ag 2.69-2.86
Ag  0.1381  0.1381  0.1381  3 Ga 2.86, 4 In 3.14, 3 Ag 3.18
Ag  0.4042  0.4042  0.4042  1 Ga 2.69, 3 In 2.77
Ag  0.5958  0.5958  0.5958  1 Ga 2.69, 3 In 2.77
Ag  0.8619  0.8619  0.8619  3 Ga 2.86, 4 In 3.14, 3 Ag 3.18

Its crystal system is trigonal. The raw total energy comes out at -22.6 eV per cell.

# 5
A geometry-optimized Sr2In3GaAg4 structure, computed with PBE.

a b c (Å): 4.5260 4.5260 12.2891
angles (deg): 90.00 90.00 90.00
With the nearest neighbours (Å) after each atom.
Positions (direct):
Sr  0.0000  0.5000  0.2411  4 Ag 3.45, 6 In 3.53-3.73, 2 Ga 3.73
Sr  0.5000  0.0000  0.7589  4 Ag 3.45, 6 In 3.53-3.73, 2 Ga 3.73
In  0.0000  0.0000  0.0000  4 Ag 2.81
In  0.0000  0.5000  0.6384  5 Ag 2.77-2.83
In  0.5000  0.0000  0.3616  5 Ag 2.77-2.83
Ga  0.5000  0.5000  0.0000  4 Ag 2.81
Ag  0.0000  0.0000  0.5000  4 In 2.83
Ag  0.0000  0.5000  0.8640  3 In 2.77-2.81, 2 Ga 2.81
Ag  0.5000  0.0000  0.1360  3 In 2.77-2.81, 2 Ga 2.81
Ag  0.5000  0.5000  0.5000  4 In 2.83

Its crystal system is tetragonal. The raw total energy comes out at -28.7 eV per cell.

# 6
A geometry-optimized Tb4InGaAg2 structure, computed with PBE.

a b c (Å): 9.0002 9.0002 9.0002
angles (deg): 33.63 33.63 33.63
With the nearest neighbours (Å) after each atom.
Positions (direct):
Tb  0.1208  0.1208  0.1208  1 Ga 3.08, 4 Ag 3.12-3.18, 3 In 3.22
Tb  0.3711  0.3711  0.3711  3 Ga 3.16, 4 Ag 3.19-3.26, 1 In 3.28
Tb  0.6289  0.6289  0.6289  3 Ga 3.16, 4 Ag 3.19-3.26, 1 In 3.28
Tb  0.8792  0.8792  0.8792  1 Ga 3.08, 4 Ag 3.12-3.18, 3 In 3.22
In  0.5000  0.5000  0.5000  8 Tb 3.22-3.28
Ga  0.0000  0.0000  0.0000  8 Tb 3.08-3.16
Ag  0.2459  0.2459  0.2459  8 Tb 3.12-3.26
Ag  0.7541  0.7541  0.7541  8 Tb 3.12-3.26

Its crystal system is trigonal. The raw total energy comes out at -33.4 eV per cell.

# 7
A geometry-optimized InGaAg2Te4 structure, computed with PBE.

a b c (Å): 7.9546 7.9546 7.9546
angles (deg): 132.81 132.81 68.95
With the nearest neighbours (Å) after each atom.
Positions (direct):
In  0.0000  0.0000  0.0000  4 Te 2.87
Ga  0.5000  0.5000  0.0000  4 Te 2.69
Ag  0.2500  0.7500  0.5000  4 Te 2.79
Ag  0.7500  0.2500  0.5000  4 Te 2.79
Te  0.1382  0.6130  0.0000  1 Ga 2.69, 2 Ag 2.79, 1 In 2.87
Te  0.3870  0.3870  0.5252  1 Ga 2.69, 2 Ag 2.79, 1 In 2.87
Te  0.6130  0.1382  0.0000  1 Ga 2.69, 2 Ag 2.79, 1 In 2.87
Te  0.8618  0.8618  0.4748  1 Ga 2.69, 2 Ag 2.79, 1 In 2.87

Its crystal system is tetragonal. As for the raw formation energy: -0.27 eV per atom. The raw total energy comes out at -26.2 eV per cell.

# 8
A geometry-optimized ThInGaAg structure, computed with PBE.

a b c (Å): 5.0731 5.0731 5.0731
angles (deg): 60.00 60.00 60.00
With the nearest neighbours (Å) after each atom.
Positions (direct):
Th  0.0000  0.0000  0.0000  4 Ga 3.11, 4 Ag 3.11
In  0.5000  0.5000  0.5000  4 Ag 3.11, 4 Ga 3.11
Ga  0.2500  0.2500  0.2500  4 In 3.11, 4 Th 3.11
Ag  0.7500  0.7500  0.7500  4 In 3.11, 4 Th 3.11

Its crystal system is cubic. The raw total energy comes out at -16.9 eV per cell.

# 9
A geometry-optimized TlInGaAg structure, computed with PBE.

a b c (Å): 5.1106 5.1106 5.1106
angles (deg): 60.00 60.00 60.00
With the nearest neighbours (Å) after each atom.
Positions (direct):
Tl  0.0000  0.0000  0.0000  4 Ga 3.13, 4 Ag 3.13
In  0.5000  0.5000  0.5000  4 Ag 3.13, 4 Ga 3.13
Ga  0.7500  0.7500  0.7500  4 In 3.13, 4 Tl 3.13
Ag  0.2500  0.2500  0.2500  4 In 3.13, 4 Tl 3.13

Its crystal system is cubic. The raw total energy comes out at -10.4 eV per cell.

# 10
A geometry-optimized TmInGaAg structure, computed with PBE.

a b c (Å): 4.9328 4.9328 4.9328
angles (deg): 60.00 60.00 60.00
With the nearest neighbours (Å) after each atom.
Positions (direct):
Tm  0.0000  0.0000  0.0000  4 Ag 3.02, 4 Ga 3.02
In  0.5000  0.5000  0.5000  4 Ga 3.02, 4 Ag 3.02
Ga  0.7500  0.7500  0.7500  4 In 3.02, 4 Tm 3.02
Ag  0.2500  0.2500  0.2500  4 In 3.02, 4 Tm 3.02

Its crystal system is cubic. The raw total energy comes out at -14.3 eV per cell.

# 11
A geometry-optimized Tm4InGaAg2 structure, computed with PBE.

a b c (Å): 8.8268 8.8268 8.8268
angles (deg): 33.70 33.70 33.70
With the nearest neighbours (Å) after each atom.
Positions (direct):
Tm  0.1211  0.1211  0.1211  1 Ga 3.02, 4 Ag 3.08-3.14, 3 In 3.17
Tm  0.3714  0.3714  0.3714  3 Ga 3.10, 4 Ag 3.11-3.19, 1 In 3.21
Tm  0.6286  0.6286  0.6286  3 Ga 3.10, 4 Ag 3.11-3.19, 1 In 3.21
Tm  0.8789  0.8789  0.8789  1 Ga 3.02, 4 Ag 3.08-3.14, 3 In 3.17
In  0.5000  0.5000  0.5000  8 Tm 3.17-3.21
Ga  0.0000  0.0000  0.0000  8 Tm 3.02-3.10
Ag  0.2468  0.2468  0.2468  8 Tm 3.08-3.19
Ag  0.7532  0.7532  0.7532  8 Tm 3.08-3.19

Its crystal system is trigonal. The raw total energy comes out at -32.8 eV per cell.

# 12
A geometry-optimized UInGaAg structure, computed with PBE.

a b c (Å): 4.9727 4.9727 4.9727
angles (deg): 60.00 60.00 60.00
With the nearest neighbours (Å) after each atom.
Positions (direct):
U  0.0000  0.0000  0.0000  4 Ag 3.05, 4 Ga 3.05
In  0.5000  0.5000  0.5000  4 Ga 3.05, 4 Ag 3.05
Ga  0.7500  0.7500  0.7500  4 In 3.05, 4 U 3.05
Ag  0.2500  0.2500  0.2500  4 In 3.05, 4 U 3.05

Its crystal system is cubic. The raw total energy comes out at -19.5 eV per cell.

Please write out number 3 again, unchanged.
A geometry-optimized Sr3In2GaAg6 structure, computed with PBE.

a b c (Å): 6.0986 6.0986 9.5028
angles (deg): 90.00 90.00 120.00
With the nearest neighbours (Å) after each atom.
Positions (direct):
Sr  0.0000  0.0000  0.0000  6 Ag 3.25, 6 In 3.52
Sr  0.3333  0.6667  0.6046  9 Ag 3.23-3.50
Sr  0.6667  0.3333  0.3954  9 Ag 3.23-3.50
In  0.3333  0.6667  0.0148  3 Ag 3.06
In  0.6667  0.3333  0.9852  3 Ag 3.06
Ga  0.0000  0.0000  0.5000  6 Ag 2.76
Ag  0.1731  0.3462  0.2825  1 Ga 2.76, 2 Ag 2.93, 1 In 3.06
Ag  0.1731  0.8269  0.2825  1 Ga 2.76, 2 Ag 2.93, 1 In 3.06
Ag  0.3462  0.1731  0.7175  1 Ga 2.76, 2 Ag 2.93, 1 In 3.06
Ag  0.6538  0.8269  0.2825  1 Ga 2.76, 2 Ag 2.93, 1 In 3.06
Ag  0.8269  0.1731  0.7175  1 Ga 2.76, 2 Ag 2.93, 1 In 3.06
Ag  0.8269  0.6538  0.7175  1 Ga 2.76, 2 Ag 2.93, 1 In 3.06

Its crystal system is trigonal. The raw total energy comes out at -33.0 eV per cell.

- Number 3 is which compound?
  Sr3In2GaAg6